A plane-wave DFT calculation with PBE was carried out for a relaxed Zn3Cu crystal.

```
data_Zn3Cu
_chemical_formula_sum 'Zn3 Cu1'
_space_group_name_H-M_alt 'P m m 2'
_space_group_IT_number 25
_cell_length_a 2.713
_cell_length_b 4.298
_cell_length_c 4.747
_cell_angle_alpha 90.00
_cell_angle_beta 90.00
_cell_angle_gamma 90.00
loop_
_space_group_symop_operation_xyz
'x,y,z'
'-x,-y,z'
'-x,y,z'
'x,-y,z'
loop_
_atom_site_label
_atom_site_fract_x
_atom_site_fract_y
_atom_site_fract_z
Zn1 0.000 0.000 0.000
Zn2 0.000 0.500 0.339
Zn3 0.500 0.000 0.515
Cu1 0.500 0.500 0.841
```

Output
energy relative to the elements	-0.221	eV/f.u.
spin magnetization	0.000	μB/atom
mass density	7792	kg/m3
total energy	-2.035	eV/atom